Record 1
Below is a geometry-optimized K2CuBrF6 structure, with properties calculated at the PBE level.

Cell and atoms, written as extended XYZ:
```
10
Lattice="6.049 0.000 0.000 -2.393 5.576 0.000 -2.679 -1.971 5.435" Properties=species:S:1:pos:R:3 pbc="T T T"
K -1.231 0.836 1.440
K 2.208 2.769 3.995
Cu 1.685 -0.985 2.718
Br 1.828 2.788 0.000
F -1.642 4.416 1.178
F -0.414 -0.259 3.829
F -1.143 2.899 3.182
F 2.120 0.707 2.253
F 1.391 3.864 1.606
F 2.620 -0.811 4.257
```

Energy relative to the elements, uncorrected   -1873.3 meV per atom
Density   3040 kg/m3
Total magnetization   0.00 μB per formula unit


Record 2
Below is a geometry-optimized Y2MgOs structure, with properties calculated at the PBE level.

Cell and atoms, written as extended XYZ:
```
4
Lattice="3.461 0.000 0.000 0.000 3.461 0.000 0.000 0.000 8.077" Properties=species:S:1:pos:R:3 pbc="T T T"
Y 0.000 0.000 1.649
Y 0.000 0.000 6.428
Mg 1.731 1.731 4.039
Os 1.731 1.731 0.000
```

DOS(E_F)   0.57 states/eV/atom
Density   6733 kg/m3
Total magnetization   0.00 μB per formula unit
Uncorrected energy   -6.621 eV/atom


Record 3
Below is a geometry-optimized Be2CuAu structure, with properties calculated at the PBE level.

Cell and atoms, written as extended XYZ:
```
4
Lattice="0.000 2.891 2.891 2.891 0.000 2.891 2.891 2.891 0.000" Properties=species:S:1:pos:R:3 pbc="T T T"
Be 0.000 0.000 0.000
Be 1.446 1.446 1.446
Cu 4.337 4.337 4.337
Au 2.891 2.891 2.891
```

DOS(E_F)   0.32 states/eV/atom
Density   9569 kg/m3
Total magnetization   0.00 μB per formula unit
Uncorrected energy   -3.627 eV/atom


Record 4
Below is a geometry-optimized ReSi2Rh structure, with properties calculated at the PBE level.

Cell and atoms, written as extended XYZ:
```
4
Lattice="4.016 -1.382 0.000 4.016 1.382 0.000 -1.080 0.000 4.935" Properties=species:S:1:pos:R:3 pbc="T T T"
Re 0.000 0.000 0.000
Si 1.182 0.000 3.707
Si 5.771 0.000 1.228
Rh 3.476 0.000 2.468
```

Energy relative to the elements, uncorrected   -269.6 meV per atom
DOS(E_F)   0.71 states/eV/atom
Density   10468 kg/m3
Total magnetization   0.00 μB per formula unit


Record 5
Below is a geometry-optimized Ho2Er3Ag2 structure, with properties calculated at the PBE level.

Cell and atoms, written as extended XYZ:
```
7
Lattice="-1.783 1.783 14.705 1.783 -1.783 14.705 1.783 1.783 -14.705" Properties=species:S:1:pos:R:3 pbc="T T T"
Ho 0.000 0.000 6.136
Ho 0.000 0.000 23.274
Er 0.000 0.000 11.052
Er 0.000 0.000 14.705
Er 0.000 0.000 18.358
Ag 0.000 0.000 1.823
Ag 0.000 0.000 27.587
```

DOS(E_F)   1.00 states/eV/atom
Density   9298 kg/m3
Total magnetization   0.00 μB per formula unit
Uncorrected energy   -4.251 eV/atom


Record 6
Below is a geometry-optimized Pm5In structure, with properties calculated at the PBE level.

Cell and atoms, written as extended XYZ:
```
6
Lattice="5.671 -2.452 0.000 5.671 2.452 0.000 -2.263 0.000 6.854" Properties=species:S:1:pos:R:3 pbc="T T T"
Pm 0.000 0.000 0.000
Pm 2.206 0.000 4.531
Pm 3.506 0.000 1.213
Pm 5.573 0.000 5.641
Pm 6.872 0.000 2.323
In -1.131 0.000 3.427
```

DOS(E_F)   1.36 states/eV/atom
Density   7318 kg/m3
Total magnetization   0.00 μB per formula unit
Uncorrected energy   -4.551 eV/atom


Record 7
Below is a geometry-optimized SrLi4Ca structure, with properties calculated at the PBE level.

Cell and atoms, written as extended XYZ:
```
6
Lattice="0.000 4.478 4.478 4.478 0.000 4.478 4.478 4.478 0.000" Properties=species:S:1:pos:R:3 pbc="T T T"
Sr 0.000 0.000 0.000
Li 3.369 3.369 3.369
Li 5.587 5.587 3.369
Li 5.587 3.369 5.587
Li 3.369 5.587 5.587
Ca 6.717 6.717 6.717
```

DOS(E_F)   1.13 states/eV/atom
Density   1438 kg/m3
Total magnetization   0.00 μB per formula unit
Uncorrected energy   -1.884 eV/atom


Record 8
Below is a geometry-optimized Er2SiSeO4 structure, with properties calculated at the PBE level.

Cell and atoms, written as extended XYZ:
```
32
Lattice="6.018 0.000 0.000 0.000 6.921 0.000 0.000 0.000 10.789" Properties=species:S:1:pos:R:3 pbc="T T T"
Er 0.657 1.730 0.000
Er 0.657 1.730 5.395
Er 2.201 3.646 2.697
Er 2.201 6.735 8.092
Er 3.817 0.186 2.697
Er 3.817 3.275 8.092
Er 5.361 5.190 0.000
Er 5.361 5.190 5.395
Si 2.320 5.190 0.000
Si 2.320 5.190 5.395
Si 3.698 1.730 0.000
Si 3.698 1.730 5.395
Se 0.429 4.384 8.092
Se 0.429 5.997 2.697
Se 5.589 0.924 8.092
Se 5.589 2.537 2.697
O 1.330 3.924 0.338
O 1.330 3.924 5.056
O 1.330 6.457 5.733
O 1.330 6.457 10.451
O 2.688 1.670 6.704
O 2.688 1.670 9.480
O 2.688 1.790 1.309
O 2.688 1.790 4.085
O 3.329 5.131 6.704
O 3.329 5.131 9.480
O 3.329 5.250 1.309
O 3.329 5.250 4.085
O 4.688 0.464 0.338
O 4.688 0.464 5.056
O 4.688 2.997 5.733
O 4.688 2.997 10.451
```

Energy relative to the elements, uncorrected   -2997.5 meV per atom
DOS(E_F)   0.00 states/eV/atom
Density   7473 kg/m3
Total magnetization   0.00 μB per formula unit


Record 9
Below is a geometry-optimized CaTbTh structure, with properties calculated at the PBE level.

Cell and atoms, written as extended XYZ:
```
3
Lattice="-1.790 1.790 8.165 1.790 -1.790 8.165 1.790 1.790 -8.165" Properties=species:S:1:pos:R:3 pbc="T T T"
Ca 0.000 0.000 0.000
Tb 0.000 0.000 11.086
Th 0.000 0.000 5.305
```

DOS(E_F)   1.23 states/eV/atom
Density   6841 kg/m3
Total magnetization   0.00 μB per formula unit
Uncorrected energy   -4.578 eV/atom


Record 10
Below is a geometry-optimized SmY4Tm2Mg structure, with properties calculated at the PBE level.

Cell and atoms, written as extended XYZ:
```
8
Lattice="5.743 0.000 0.000 0.000 5.743 0.000 0.000 0.000 7.516" Properties=species:S:1:pos:R:3 pbc="T T T"
Sm 0.000 0.000 0.000
Y 0.000 2.871 1.861
Y 0.000 2.871 5.655
Y 2.871 0.000 1.861
Y 2.871 0.000 5.655
Tm 0.000 0.000 3.758
Tm 2.871 2.871 3.758
Mg 2.871 2.871 0.000
```

DOS(E_F)   1.98 states/eV/atom
Density   5816 kg/m3
Total magnetization   0.35 μB per formula unit
Uncorrected energy   -5.049 eV/atom


Record 11
Below is a geometry-optimized AlCl structure, with properties calculated at the PBE level.

Cell and atoms, written as extended XYZ:
```
4
Lattice="-1.676 2.441 5.434 1.676 -2.441 5.434 1.676 2.441 -5.434" Properties=species:S:1:pos:R:3 pbc="T T T"
Al 0.000 1.221 1.445
Al 1.676 1.221 3.989
Cl 1.676 1.221 -1.102
Cl 0.000 1.221 6.536
```

Energy relative to the elements, uncorrected   -271.1 meV per atom
DOS(E_F)   0.11 states/eV/atom
Density   2331 kg/m3
Total magnetization   0.00 μB per formula unit


Record 12
Below is a geometry-optimized DySc2Ni9 structure, with properties calculated at the PBE level.

Cell and atoms, written as extended XYZ:
```
12
Lattice="2.438 1.408 7.935 -2.438 1.408 7.935 0.000 -2.815 7.935" Properties=species:S:1:pos:R:3 pbc="T T T"
Dy 0.000 0.000 0.000
Sc 0.000 0.000 3.357
Sc 0.000 0.000 20.447
Ni -1.230 -0.710 9.950
Ni 0.000 0.000 7.935
Ni 0.000 -1.420 13.854
Ni -1.230 0.710 13.854
Ni 0.000 0.000 11.902
Ni 1.230 -0.710 9.950
Ni 0.000 1.420 9.950
Ni 0.000 0.000 15.870
Ni 1.230 0.710 13.854
```

DOS(E_F)   1.38 states/eV/atom
Density   7934 kg/m3
Total magnetization   0.01 μB per formula unit
Uncorrected energy   -6.226 eV/atom


Record 13
Below is a geometry-optimized Ag8Sn3 structure, with properties calculated at the PBE level.

Cell and atoms, written as extended XYZ:
```
11
Lattice="4.694 -2.157 0.000 4.694 2.157 0.000 -2.702 0.000 10.730" Properties=species:S:1:pos:R:3 pbc="T T T"
Ag -0.413 0.000 3.430
Ag -1.299 0.000 10.237
Ag 0.518 0.000 6.330
Ag 2.413 0.000 2.458
Ag 4.272 0.000 8.272
Ag 6.168 0.000 4.399
Ag 7.985 0.000 0.493
Ag 7.099 0.000 7.300
Sn 1.458 0.000 9.193
Sn 3.343 0.000 5.365
Sn 5.228 0.000 1.537
```

DOS(E_F)   0.28 states/eV/atom
Density   9317 kg/m3
Total magnetization   0.00 μB per formula unit
Uncorrected energy   -3.153 eV/atom


Record 14
Below is a geometry-optimized LaMg2Fe structure, with properties calculated at the PBE level.

Cell and atoms, written as extended XYZ:
```
4
Lattice="1.576 0.910 10.391 -1.576 0.910 10.391 0.000 -1.819 10.391" Properties=species:S:1:pos:R:3 pbc="T T T"
La 0.000 0.000 0.000
Mg 0.000 0.000 7.322
Mg 0.000 0.000 23.852
Fe 0.000 0.000 15.587
```

DOS(E_F)   1.23 states/eV/atom
Density   4523 kg/m3
Total magnetization   2.85 μB per formula unit
Uncorrected energy   -3.801 eV/atom


Record 15
Below is a geometry-optimized La2TbTl structure, with properties calculated at the PBE level.

Cell and atoms, written as extended XYZ:
```
8
Lattice="6.918 0.000 0.000 0.000 5.425 0.000 -1.682 0.000 6.922" Properties=species:S:1:pos:R:3 pbc="T T T"
La 0.260 1.356 2.829
La -0.461 1.356 6.368
La 5.697 4.069 0.554
La 4.976 4.069 4.092
Tb 2.315 4.069 1.572
Tb 2.921 1.356 5.349
Tl 1.367 4.069 4.972
Tl 3.869 1.356 1.950
```

DOS(E_F)   1.31 states/eV/atom
Density   8197 kg/m3
Total magnetization   0.00 μB per formula unit
Uncorrected energy   -4.397 eV/atom


Record 16
Below is a geometry-optimized RbSc2Br structure, with properties calculated at the PBE level.

Cell and atoms, written as extended XYZ:
```
4
Lattice="0.000 3.924 3.924 3.924 0.000 3.924 3.924 3.924 0.000" Properties=species:S:1:pos:R:3 pbc="T T T"
Rb 0.000 0.000 0.000
Sc 1.962 1.962 1.962
Sc 5.886 5.886 5.886
Br 3.924 3.924 3.924
```

Energy relative to the elements, uncorrected   653.5 meV per atom
DOS(E_F)   1.40 states/eV/atom
Density   3509 kg/m3
Total magnetization   1.65 μB per formula unit


Record 17
Below is a geometry-optimized Er2PaAl structure, with properties calculated at the PBE level.

Cell and atoms, written as extended XYZ:
```
4
Lattice="1.626 0.939 11.299 -1.626 0.939 11.299 0.000 -1.878 11.299" Properties=species:S:1:pos:R:3 pbc="T T T"
Er 0.000 0.000 3.248
Er 0.000 0.000 30.650
Pa 0.000 0.000 0.000
Al 0.000 0.000 16.949
```

DOS(E_F)   1.24 states/eV/atom
Density   9507 kg/m3
Total magnetization   0.00 μB per formula unit
Uncorrected energy   -5.417 eV/atom


Record 18
Below is a geometry-optimized HfAlAg structure, with properties calculated at the PBE level.

Cell and atoms, written as extended XYZ:
```
6
Lattice="5.090 0.000 0.000 0.000 3.002 0.000 -2.543 0.000 7.298" Properties=species:S:1:pos:R:3 pbc="T T T"
Hf 0.000 0.000 0.000
Hf -0.030 0.000 5.102
Al 0.713 1.501 2.535
Al 2.504 1.501 0.336
Ag 2.481 1.501 4.705
Ag 3.439 0.000 2.466
```

DOS(E_F)   0.80 states/eV/atom
Density   9331 kg/m3
Total magnetization   0.00 μB per formula unit
Uncorrected energy   -5.634 eV/atom


Record 19
Below is a geometry-optimized Dy3NpAg3S8 structure, with properties calculated at the PBE level.

Cell and atoms, written as extended XYZ:
```
15
Lattice="6.528 -4.027 0.000 6.528 4.027 0.000 -4.074 0.000 6.525" Properties=species:S:1:pos:R:3 pbc="T T T"
Dy 0.000 0.000 0.000
Dy 1.227 2.014 3.263
Dy 1.227 -2.014 3.263
Np 6.528 0.000 0.000
Ag 3.264 2.014 0.000
Ag 3.264 -2.014 0.000
Ag 4.491 0.000 3.263
S 2.200 0.000 1.655
S 3.399 1.989 4.944
S 0.298 0.000 4.885
S 5.582 1.989 1.581
S 3.399 -1.989 4.944
S 8.684 0.000 1.640
S 5.582 -1.989 1.581
S 6.781 0.000 4.870
```

Energy relative to the elements, uncorrected   -1270.5 meV per atom
DOS(E_F)   0.33 states/eV/atom
Density   6314 kg/m3
Total magnetization   3.00 μB per formula unit


Record 20
Below is a geometry-optimized Bi2AsRh structure, with properties calculated at the PBE level.

Cell and atoms, written as extended XYZ:
```
8
Lattice="-3.197 3.197 6.189 3.197 -3.197 6.189 3.197 3.197 -6.189" Properties=species:S:1:pos:R:3 pbc="T T T"
Bi 4.795 1.408 -1.547
Bi 1.408 1.598 1.547
Bi -1.598 1.789 4.642
Bi 1.789 1.598 7.736
As 3.197 0.000 3.095
As 0.000 0.000 6.189
Rh 0.000 0.000 0.000
Rh 0.000 3.197 3.095
```

DOS(E_F)   0.01 states/eV/atom
Density   7820 kg/m3
Total magnetization   0.00 μB per formula unit
Uncorrected energy   -4.765 eV/atom